Entry from the Open Quantum Materials Database: crystalline PaBePO at its relaxed geometry (PBE).

Cell and atoms, written as extended XYZ:
```
8
Lattice="3.851 0.000 0.000 0.000 3.851 0.000 0.000 0.000 7.900" Properties=species:S:1:pos:R:3 pbc="T T T"
Be 0.000 0.000 3.950
Be 1.926 1.926 3.950
O 0.000 0.000 0.000
O 1.926 1.926 0.000
P 1.926 0.000 2.823
P 0.000 1.926 5.077
Pa 0.000 1.926 1.401
Pa 1.926 0.000 6.499
```

Values from the calculation:
Volume in Å³/f.u.: 59

Entry from the Open Quantum Materials Database: crystalline BePPdO at its relaxed geometry (PBE).

Cell and atoms, written as extended XYZ:
```
8
Lattice="3.633 0.000 0.000 0.000 3.633 0.000 0.000 0.000 7.731" Properties=species:S:1:pos:R:3 pbc="T T T"
Be 0.000 0.000 3.865
Be 1.816 1.816 3.865
O 0.000 0.000 0.000
O 1.816 1.816 0.000
P 1.816 0.000 2.593
P 0.000 1.816 5.138
Pd 0.000 1.816 1.102
Pd 1.816 0.000 6.629
```

Values from the calculation:
Volume in Å³/f.u.: 51

Number 1: raw total energy -6.969 eV per atom. Number 2: raw total energy -4.666 eV per atom.